(1)
{
  "formula": "Pm4Sm5Tl",
  "functional": "PBE",
  "state": "relaxed",
  "rho_g_cm3": 7.34,
  "e_above_lowest_polymorph_ev_per_fu": 0.889,
  "e_form_ev_per_atom": 0.113,
  "lattice_angstrom": [[-5.382, 5.382, 2.999], [5.382, -5.382, 2.999], [5.382, 5.382, -2.999]],
  "species": ["Pm", "Pm", "Pm", "Pm", "Sm", "Sm", "Sm", "Sm", "Sm", "Tl"],
  "fractional_positions": [[0.000, 0.314, 0.314], [0.000, 0.686, 0.686], [0.314, 0.000, 0.314], [0.686, 0.000, 0.686], [0.198, 0.198, 0.000], [0.302, 0.302, 0.628], [0.302, 0.674, 0.000], [0.674, 0.302, 0.000], [0.674, 0.674, 0.372], [0.718, 0.718, 0.000]]
}

(2)
{
  "formula": "Tl2AuO",
  "functional": "PBE",
  "state": "relaxed",
  "rho_g_cm3": 12.23,
  "e_above_lowest_polymorph_ev_per_fu": 1.217,
  "formation_energy_uncorrected_ev_per_atom": 0.066,
  "lattice_angstrom": [[0.000, 3.482, 3.482], [3.482, 0.000, 3.482], [3.482, 3.482, 0.000]],
  "species": ["Tl", "Tl", "Au", "O"],
  "fractional_positions": [[0.250, 0.250, 0.250], [0.750, 0.750, 0.750], [0.000, 0.000, 0.000], [0.500, 0.500, 0.500]]
}

(3)
{
  "formula": "SrTbNdEu",
  "functional": "PBE",
  "state": "relaxed",
  "rho_g_cm3": 5.78,
  "e_form_ev_per_atom": 0.189,
  "lattice_angstrom": [[0.000, 4.272, 4.272], [4.272, 0.000, 4.272], [4.272, 4.272, 0.000]],
  "species": ["Sr", "Tb", "Nd", "Eu"],
  "fractional_positions": [[0.000, 0.000, 0.000], [0.750, 0.750, 0.750], [0.500, 0.500, 0.500], [0.250, 0.250, 0.250]]
}

(4)
{
  "formula": "SrCa2P",
  "functional": "PBE",
  "state": "relaxed",
  "rho_g_cm3": 2.80,
  "e_form_ev_per_atom": -0.284,
  "lattice_angstrom": [[4.807, 0.000, 0.000], [0.000, 4.807, 0.000], [0.000, 0.000, 5.106]],
  "species": ["Sr", "Ca", "Ca", "P"],
  "fractional_positions": [[0.000, 0.000, 0.000], [0.000, 0.500, 0.500], [0.500, 0.000, 0.500], [0.500, 0.500, 0.000]]
}

(5)
{
  "formula": "Sr2LiScAg6",
  "functional": "PBE",
  "state": "relaxed",
  "rho_g_cm3": 5.73,
  "e_form_ev_per_atom": -0.088,
  "lattice_angstrom": [[5.910, 0.000, 0.000], [2.944, 6.464, 0.000], [2.954, -0.693, 6.636]],
  "species": ["Sr", "Sr", "Li", "Sc", "Ag", "Ag", "Ag", "Ag", "Ag", "Ag"],
  "fractional_positions": [[0.050, 0.201, 0.200], [0.950, 0.799, 0.800], [0.500, 0.000, 0.500], [0.500, 0.500, 0.000], [0.014, 0.255, 0.727], [0.344, 0.406, 0.408], [0.497, 0.745, 0.272], [0.503, 0.255, 0.728], [0.656, 0.594, 0.592], [0.986, 0.745, 0.273]]
}

(6)
{
  "formula": "Sc2SiS",
  "functional": "PBE",
  "state": "relaxed",
  "rho_g_cm3": 3.20,
  "e_above_lowest_polymorph_ev_per_fu": 0.909,
  "formation_energy_uncorrected_ev_per_atom": -1.139,
  "lattice_angstrom": [[1.836, 1.060, 6.670], [-1.836, 1.060, 6.670], [0.000, -2.120, 6.670]],
  "species": ["Sc", "Sc", "Si", "S"],
  "fractional_positions": [[0.000, 0.000, 0.000], [0.171, 0.171, 0.171], [0.584, 0.584, 0.584], [0.754, 0.754, 0.754]]
}

(7)
{
  "formula": "Na4B7C",
  "functional": "PBE",
  "state": "relaxed",
  "rho_g_cm3": 2.26,
  "e_above_lowest_polymorph_ev_per_fu": 0.145,
  "e_form_ev_per_atom": 0.234,
  "lattice_angstrom": [[5.385, 0.000, 0.000], [0.000, 2.821, 0.000], [-0.006, 0.000, 17.390]],
  "species": ["Na", "Na", "Na", "Na", "Na", "Na", "Na", "Na", "B", "B", "B", "B", "B", "B", "B", "B", "B", "B", "B", "B", "B", "B", "C", "C"],
  "fractional_positions": [[0.248, 0.250, 0.499], [0.249, 0.250, 0.750], [0.250, 0.250, 0.000], [0.250, 0.250, 0.251], [0.750, 0.750, 0.000], [0.750, 0.750, 0.749], [0.751, 0.750, 0.250], [0.752, 0.750, 0.501], [0.067, 0.750, 0.376], [0.094, 0.750, 0.126], [0.094, 0.750, 0.874], [0.384, 0.750, 0.624], [0.400, 0.750, 0.375], [0.405, 0.750, 0.875], [0.406, 0.750, 0.126], [0.594, 0.250, 0.874], [0.595, 0.250, 0.125], [0.600, 0.250, 0.625], [0.616, 0.250, 0.376], [0.906, 0.250, 0.126], [0.906, 0.250, 0.874], [0.933, 0.250, 0.624], [0.089, 0.750, 0.624], [0.911, 0.250, 0.376]]
}

(8)
{
  "formula": "LiTa2Si",
  "functional": "PBE",
  "state": "relaxed",
  "rho_g_cm3": 10.68,
  "formation_energy_uncorrected_ev_per_atom": -0.019,
  "lattice_angstrom": [[3.963, 0.000, 0.000], [0.000, 3.963, 0.000], [0.000, 0.000, 3.930]],
  "species": ["Li", "Ta", "Ta", "Si"],
  "fractional_positions": [[0.000, 0.000, 0.000], [0.000, 0.500, 0.500], [0.500, 0.000, 0.500], [0.500, 0.500, 0.000]]
}

(9)
{
  "formula": "Sc2AuBr",
  "functional": "PBE",
  "state": "relaxed",
  "rho_g_cm3": 7.28,
  "e_above_lowest_polymorph_ev_per_fu": 1.060,
  "formation_energy_uncorrected_ev_per_atom": -0.528,
  "lattice_angstrom": [[0.000, 3.472, 3.472], [3.472, 0.000, 3.472], [3.472, 3.472, 0.000]],
  "species": ["Sc", "Sc", "Au", "Br"],
  "fractional_positions": [[0.250, 0.250, 0.250], [0.750, 0.750, 0.750], [0.000, 0.000, 0.000], [0.500, 0.500, 0.500]]
}

(10)
{
  "formula": "Ba3U2MnSe9",
  "functional": "PBE",
  "state": "relaxed",
  "rho_g_cm3": 6.02,
  "formation_energy_uncorrected_ev_per_atom": -1.379,
  "lattice_angstrom": [[7.529, 0.000, 0.000], [-3.765, 6.520, 0.000], [0.000, 0.000, 9.288]],
  "species": ["Ba", "Ba", "Ba", "U", "U", "Mn", "Se", "Se", "Se", "Se", "Se", "Se", "Se", "Se", "Se"],
  "fractional_positions": [[0.000, 0.000, 0.000], [0.333, 0.667, 0.654], [0.667, 0.333, 0.346], [0.333, 0.667, 0.181], [0.667, 0.333, 0.819], [0.000, 0.000, 0.500], [0.000, 0.500, 0.000], [0.162, 0.323, 0.339], [0.162, 0.838, 0.339], [0.323, 0.162, 0.661], [0.500, 0.000, 0.000], [0.500, 0.500, 0.000], [0.677, 0.838, 0.339], [0.838, 0.162, 0.661], [0.838, 0.677, 0.661]]
}

(11)
{
  "formula": "MgTlGaS3",
  "functional": "PBE",
  "state": "relaxed",
  "rho_g_cm3": 4.21,
  "formation_energy_uncorrected_ev_per_atom": -0.810,
  "lattice_angstrom": [[7.905, 0.000, 0.000], [0.000, 3.724, 0.000], [-3.837, 0.000, 10.578]],
  "species": ["Mg", "Mg", "Tl", "Tl", "Ga", "Ga", "S", "S", "S", "S", "S", "S"],
  "fractional_positions": [[0.060, 0.250, 0.396], [0.940, 0.750, 0.604], [0.462, 0.750, 0.767], [0.538, 0.250, 0.233], [0.039, 0.750, 0.124], [0.961, 0.250, 0.876], [0.153, 0.750, 0.950], [0.176, 0.250, 0.630], [0.234, 0.750, 0.317], [0.766, 0.250, 0.683], [0.824, 0.750, 0.370], [0.847, 0.250, 0.050]]
}

(12)
{
  "formula": "BaSc",
  "functional": "PBE",
  "state": "relaxed",
  "rho_g_cm3": 4.15,
  "e_above_lowest_polymorph_ev_per_fu": 0.365,
  "e_form_ev_per_atom": 0.418,
  "lattice_angstrom": [[3.704, 0.000, 0.000], [0.000, 5.914, 0.000], [0.000, 0.000, 6.666]],
  "species": ["Ba", "Ba", "Sc", "Sc"],
  "fractional_positions": [[0.250, 0.250, 0.108], [0.750, 0.750, 0.892], [0.250, 0.750, 0.422], [0.750, 0.250, 0.578]]
}